1:
Material: PmSb2Rh
Method: DFT, PBE
State: optimized geometry

POSCAR file:
```
PmSb2Rh
1.0
-3.3705 2.4028 0.6533
-0.9388 -0.0725 -4.5769
-2.6131 -3.8277 0.5966
Sb Rh Pm
2 1 1
direct
0.0000 0.0000 0.5000
0.0000 0.5000 0.0000
0.5000 0.5000 0.5000
0.5000 0.0000 0.0000
```

Output
spin magnetization = 0.000 μB per formula unit
crystal system = tetragonal

---

2:
Material: PmSb2Rh
Method: DFT, PBE
State: optimized geometry

POSCAR file:
```
PmSb2Rh
1.0
4.3955 0.0000 0.0000
0.0000 4.3955 0.0000
0.0000 0.0000 9.9659
Pm Sb Rh
2 4 2
direct
0.0000 0.5000 0.2501
0.5000 0.0000 0.7499
0.5000 0.0000 0.1516
0.0000 0.5000 0.8484
0.0000 0.0000 0.5000
0.5000 0.5000 0.5000
0.5000 0.5000 0.0000
0.0000 0.0000 0.0000
```

Output
spin magnetization = 0.000 μB per formula unit
crystal system = tetragonal

---

Relative energies, eV/atom: 1 0.338; 2 0.000.